Entry from Alexandria via LeMat-Bulk: a geometry-optimized Be2CdTe structure (PBE).

Summary:
DOS at the Fermi energy ... 1.38 states/eV per cell
Distance to the lowest polymorph of the same formula ... 0 meV per atom
Symmetry ... Cm (8)
Formation energy (no corrections) ... 0.303 eV per atom

Cell: 4.148 4.148 5.700 Å, 80.60 80.60 53.15°
Fractional coordinates of all 4 atoms:
Cd  0.479  0.479  0.602
Te  0.228  0.228  0.167
Be  0.746  0.746  0.864
Be  0.047  0.047  0.866